(i)
RbZrCo: optimized geometry, PBE.

It has space group F-43m (No. 216), with a = 6.658 Å, b = 6.658 Å, c = 6.658 Å, α = 90.00°, β = 90.00° and γ = 90.00°. The inequivalent atoms are Rb at (0.000, 0.000, 0.000), Zr at (0.000, 0.000, 0.500) and Co at (0.250, 0.250, 0.250).

***

(ii)
RbZrCo: optimized geometry, PBE.

It has space group F-43m (No. 216), with a = 6.520 Å, b = 6.520 Å, c = 6.520 Å, α = 90.00°, β = 90.00° and γ = 90.00°. The inequivalent atoms are Rb at (0.000, 0.000, 0.000), Zr at (0.250, 0.250, 0.250) and Co at (0.250, 0.250, 0.750).

***

(i) ends up most stable, edging out the next structure by 903 meV/atom.

***

(i)
Co7Re6: optimized geometry, PBE.

It has space group R-3m (No. 166, hexagonal axes), with a = 4.6435 Å, b = 4.6435 Å, c = 25.3345 Å, α = 90.00°, β = 90.00° and γ = 120.00°. The inequivalent atoms are Co at (0.0000, 0.0000, 0.0000), Co at (0.0008, 0.5004, 0.4100), Re at (0.0000, 0.0000, 0.1662), Re at (0.0000, 0.0000, 0.3473) and Re at (0.0000, 0.0000, 0.4515).

***

(ii)
Co7Re6: optimized geometry, PBE.

It has space group R-3m (No. 166, hexagonal axes), with a = 4.9568 Å, b = 4.9568 Å, c = 24.6464 Å, α = 90.00°, β = 90.00° and γ = 120.00°. The inequivalent atoms are Co at (0.0000, 0.0000, 0.0000), Co at (0.0000, 0.0000, 0.1644), Co at (0.0000, 0.0000, 0.3544), Co at (0.0000, 0.0000, 0.4546) and Re at (0.0056, 0.5028, 0.4125).

***

(i) ends up most stable, edging out the next structure by 434 meV/atom.

***

(i)
CoRe2: optimized geometry, PBE.

It has space group P4_2/mnm (No. 136), with a = 9.102 Å, b = 9.102 Å, c = 4.912 Å, α = 90.00°, β = 90.00° and γ = 90.00°. The inequivalent atoms are Co at (0.000, 0.000, 0.000), Co at (0.037, 0.372, 0.500), Re at (0.063, 0.270, 0.000), Re at (0.100, 0.100, 0.500) and Re at (0.179, 0.821, 0.250).

***

(ii)
CoRe2: optimized geometry, PBE.

It has space group P4_2/mnm (No. 136), with a = 9.092 Å, b = 9.092 Å, c = 4.838 Å, α = 90.00°, β = 90.00° and γ = 90.00°. The inequivalent atoms are Co at (0.000, 0.000, 0.000), Co at (0.064, 0.257, 0.000), Re at (0.036, 0.366, 0.500), Re at (0.097, 0.097, 0.500) and Re at (0.185, 0.815, 0.250).

***

(iii)
CoRe2: optimized geometry, PBE.

It has space group Fd-3m (No. 227, origin choice 2), with a = 7.132 Å, b = 7.132 Å, c = 7.132 Å, α = 90.00°, β = 90.00° and γ = 90.00°. The inequivalent atoms are Co at (0.125, 0.125, 0.125) and Re at (0.000, 0.000, 0.500).

***

(ii) ends up most stable, edging out the next structure by 103 meV/atom.